A plane-wave DFT calculation with PBE was carried out for a geometry-optimized Cr2Ru3Rh4 structure.

Crystal system ... triclinic
Total moment ... 0.000 μB/atom
Raw total energy ... -8.542 eV/atom
SG ... P-1
DOS(E_F) ... 9.09 states/eV/f.u.

abc: 4.676 6.892 8.337
angles: 71.41 73.87 89.76
Fractional positions:
Cr1 0.161 0.250 0.000
Cr2 0.269 0.026 0.781
Cr3 0.731 0.974 0.219
Cr4 0.839 0.750 0.000
Ru1 0.053 0.479 0.216
Ru2 0.264 0.871 0.103
Ru3 0.391 0.809 0.551
Ru4 0.609 0.191 0.449
Ru5 0.736 0.129 0.897
Ru6 0.947 0.521 0.784
Rh1 0.057 0.301 0.558
Rh2 0.164 0.089 0.323
Rh3 0.384 0.643 0.888
Rh4 0.491 0.406 0.678
Rh5 0.509 0.594 0.322
Rh6 0.616 0.357 0.112
Rh7 0.836 0.911 0.677
Rh8 0.943 0.699 0.442